# 1
Computed, not measured: a relaxed CdInPb crystal at the GGA-PBE level of DFT.

Values from the calculation:
Its total energy is -2.415 eV/atom. The value obtained for the size of the total moment is 0.0000 μB/atom. For the mass density, the calculation gives 8.72 Mg/m³. As for the density of states at the Fermi level: 1.3 states/eV/f.u. The value obtained for the formation energy is 39 meV/atom.

a b c (Å): 5.8829 5.8829 5.8829
angles (deg): 144.84 134.63 58.67
Fractional coordinates of all 3 atoms:
Cd  0.0000  0.0000  0.0000
In  0.6549  0.6549  0.0000
Pb  0.3303  0.3303  0.0000

---

# 2
Computed, not measured: a relaxed CdIn2Pb crystal at the GGA-PBE level of DFT.

Values from the calculation:
Its total energy is -2.490 eV/atom. The value obtained for the size of the total moment is 0.0000 μB/atom. For the mass density, the calculation gives 8.30 Mg/m³. As for the density of states at the Fermi level: 1.6 states/eV/f.u. The value obtained for the formation energy is 35 meV/atom.

a b c (Å): 6.0213 6.0213 6.0213
angles (deg): 134.35 134.35 66.54
Fractional coordinates of all 4 atoms:
Cd  0.0000  0.0000  0.0000
In  0.2500  0.7500  0.5000
In  0.7500  0.2500  0.5000
Pb  0.5000  0.5000  0.0000

---

# 3
Computed, not measured: a relaxed CdInPb2 crystal at the GGA-PBE level of DFT.

Values from the calculation:
Its total energy is -2.730 eV/atom. The value obtained for the size of the total moment is 0.0000 μB/atom. For the mass density, the calculation gives 9.29 Mg/m³. As for the density of states at the Fermi level: 1.5 states/eV/f.u. The value obtained for the formation energy is 38 meV/atom.

a b c (Å): 6.6400 6.6400 6.7637
angles (deg): 116.57 116.57 91.19
Fractional coordinates of all 8 atoms:
Cd  0.2456  0.2456  0.4738
Cd  0.7544  0.7544  0.5262
In  0.2195  0.7805  0.0000
In  0.7805  0.2195  0.0000
Pb  0.2363  0.7637  0.5000
Pb  0.2968  0.2968  0.0147
Pb  0.7032  0.7032  0.9853
Pb  0.7637  0.2363  0.5000